{
  "formula": "BeRu2Au",
  "functional": "GGA-PBE",
  "state": "optimized geometry",
  "ef_mev_per_atom": 101,
  "magmom_total_mub_per_atom": 0.00,
  "lattice": [[2.795, 0.000, 0.000], [0.000, 2.795, 0.000], [0.000, 0.000, 6.864]],
  "species": ["Be", "Ru", "Ru", "Au"],
  "frac_coords": [[0.000, 0.000, 0.000], [0.500, 0.500, 0.192], [0.500, 0.500, 0.808], [0.000, 0.000, 0.500]]
}

=====

{
  "formula": "Pu2NbZnN5",
  "functional": "GGA-PBE",
  "state": "optimized geometry",
  "dft_energy_ev_per_atom": -9.778,
  "magmom_total_mub_per_atom": 0.01,
  "lattice": [[1.625, -6.637, 0.000], [1.625, 6.637, 0.000], [0.000, 0.000, 10.054]],
  "species": ["Pu", "Pu", "Pu", "Pu", "Nb", "Nb", "Zn", "Zn", "N", "N", "N", "N", "N", "N", "N", "N", "N", "N"],
  "frac_coords": [[0.112, 0.888, 0.500], [0.135, 0.865, 0.108], [0.865, 0.135, 0.608], [0.888, 0.112, 0.000], [0.204, 0.796, 0.817], [0.796, 0.204, 0.317], [0.485, 0.515, 0.287], [0.515, 0.485, 0.787], [0.053, 0.947, 0.886], [0.289, 0.711, 0.469], [0.308, 0.692, 0.174], [0.357, 0.643, 0.824], [0.493, 0.507, 0.592], [0.507, 0.493, 0.092], [0.643, 0.357, 0.324], [0.692, 0.308, 0.674], [0.711, 0.289, 0.969], [0.947, 0.053, 0.386]]
}

=====

{
  "formula": "TiSe2NCl",
  "functional": "GGA-PBE",
  "state": "optimized geometry",
  "relative_energy_ev_per_atom": 0.000,
  "magmom_total_mub_per_atom": 0.10,
  "lattice": [[5.053, 0.000, 0.000], [0.000, 5.053, 0.000], [0.000, 0.000, 3.858]],
  "species": ["Ti", "Se", "Se", "N", "Cl"],
  "frac_coords": [[0.000, 0.000, 0.000], [0.000, 0.500, 0.000], [0.500, 0.000, 0.000], [0.000, 0.000, 0.500], [0.500, 0.500, 0.500]]
}

=====

Repeat the first record exactly.
{
  "formula": "BeRu2Au",
  "functional": "GGA-PBE",
  "state": "optimized geometry",
  "ef_mev_per_atom": 101,
  "magmom_total_mub_per_atom": 0.00,
  "lattice": [[2.795, 0.000, 0.000], [0.000, 2.795, 0.000], [0.000, 0.000, 6.864]],
  "species": ["Be", "Ru", "Ru", "Au"],
  "frac_coords": [[0.000, 0.000, 0.000], [0.500, 0.500, 0.192], [0.500, 0.500, 0.808], [0.000, 0.000, 0.500]]
}